Tl2Mo2Os: relaxed, GGA-PBE.

Lattice parameters (Å, degrees): 3.805 3.805 14.604 90.00 90.00 90.00
Space group I4/mmm (No. 139)
Symmetry-distinct sites (fractional):
Tl1 0.000 0.500 0.250 [4 per cell]
Mo1 0.000 0.000 0.077 [4 per cell]
Os1 0.000 0.000 0.500 [2 per cell]

Values from the calculation:
* V: 21.144 Å³ per atom
* total energy: -6.1811 eV/atom
* calculated formation energy: 1.3438 eV/atom
* ΔE to the lowest computed polymorph: 2.52 eV per formula unit